[1]
VASP calculation (GGA-PBE) on a relaxed structure of Rb2NaRuO4.

Cell: 5.7516 6.9351 10.6619 Å, 83.58 74.35 65.50°
Positions (direct):
Rb 0.1812 0.0000 0.6375
Rb 0.8188 0.0000 0.3625
Rb 0.5688 0.5000 0.8625
Rb 0.9312 0.5000 0.1375
O 0.8378 0.8095 0.9242
O 0.9122 0.6905 0.5758
O 0.5120 0.3095 0.5758
O 0.3973 0.6905 0.4242
O 0.1785 0.3095 0.4242
O 0.2380 0.1905 0.9242
O 0.5715 0.1905 0.0758
O 0.3527 0.8095 0.0758
Na 0.7500 0.5000 0.5000
Na 0.0000 0.0000 0.0000
Ru 0.5000 0.0000 0.0000
Ru 0.2500 0.5000 0.5000

Computed properties:
The space-group type is Fddd.


[2]
VASP calculation (GGA-PBE) on a relaxed structure of Rb3Na2RuO6.

Cell: 6.0473 6.0473 6.4698 Å, 98.75 98.75 120.00°
Positions (direct):
Na 0.6659 0.3341 0.0000
Na 0.3341 0.6659 0.0000
Rb 0.8261 0.1739 0.5000
Rb 0.5000 0.5000 0.5000
Rb 0.1739 0.8261 0.5000
O 0.7979 0.7979 0.1836
O 0.9395 0.6750 0.8237
O 0.3250 0.0605 0.1763
O 0.6750 0.9395 0.8237
O 0.2021 0.2021 0.8164
O 0.0605 0.3250 0.1763
Ru 0.0000 0.0000 0.0000

Computed properties:
The space-group type is C2/m.


[3]
VASP calculation (GGA-PBE) on a relaxed structure of RbNa2RuO4.

Cell: 6.9860 6.9860 8.3253 Å, 126.57 126.57 74.34°
Positions (direct):
O 0.0005 0.0002 0.7760
O 0.9995 0.9998 0.2240
O 0.7466 0.1869 0.9666
O 0.6869 0.2465 0.4666
O 0.4998 0.4995 0.7240
O 0.3131 0.7534 0.5334
O 0.5002 0.5005 0.2760
O 0.2535 0.8131 0.0334
Rb 0.0000 0.5000 0.5000
Rb 0.0000 0.5000 0.0000
Ru 0.0000 0.0000 0.0000
Ru 0.5000 0.5000 0.5000
Na 0.5000 0.0000 0.0000
Na 0.5000 0.0000 0.5000
Na 0.0000 0.0000 0.5000
Na 0.5000 0.5000 0.0000

Computed properties:
The space-group type is Imma.


Energy relative to the elements, uncorrected (computed, eV/atom): -1.127; -1.188; -1.118
Calculated volume (computed, Å³/atom): 23.290; 16.266; 16.238